An optimized crystal structure of GaB2CO, computed with PBE.

a = 2.9676 Å, b = 7.3496 Å, c = 2.9676 Å
α = 90.00°, β = 90.00°, γ = 90.00°
Fractional coordinates of all 5 atoms:
Ga 0.0000 0.5000 0.0000
B 0.5000 0.0000 0.0000
B 0.0000 0.0000 0.5000
C 0.0000 0.0000 0.0000
O 0.5000 0.5000 0.5000

The symmetry is P4/mmm. For the volume, the calculation gives 12.9 Å³/atom. The crystal system is tetragonal. The formation energy without anion corrections comes out at 0.521 eV/atom. The calculation puts the calculated total energy at -5.59 eV/atom.

***

An optimized crystal structure of LiErPuTe3, computed with PBE.

a = 4.2908 Å, b = 8.8829 Å, c = 9.5059 Å
α = 103.42°, β = 90.00°, γ = 90.00°
Fractional coordinates of all 12 atoms:
Er 0.7500 0.3300 0.8363
Er 0.2500 0.6700 0.1637
Te 0.2500 0.5712 0.8305
Te 0.2500 0.7640 0.4968
Te 0.7500 0.4288 0.1695
Te 0.7500 0.2360 0.5032
Te 0.2500 0.0955 0.8726
Te 0.7500 0.9045 0.1274
Pu 0.7500 0.8171 0.7684
Pu 0.2500 0.1829 0.2316
Li 0.7500 0.9150 0.4162
Li 0.2500 0.0850 0.5838

The symmetry is P2_1/m. For the volume, the calculation gives 29.4 Å³/atom. The crystal system is monoclinic. The formation energy without anion corrections comes out at -1.143 eV/atom. The calculation puts the calculated total energy at -6.18 eV/atom.